The following is a PBE calculation of a geometry-optimized AgHg5Br2 structure, from Alexandria.

Unit cell a=10.8383 b=9.2710 c=5.4636 alpha=90.00 beta=115.77 gamma=90.00
With the nearest neighbours (Å) after each atom.
Space group C2/m (No. 12)
One atom of each set of equivalent atoms:
Ag: 0.0000 0.0000 0.0000 (multiplicity 2)  2 Br 2.54
Hg: 0.0000 0.5000 0.0000 (multiplicity 2)  4 Hg 3.11, 2 Br 3.24
Hg: 0.1120 0.2503 0.7748 (multiplicity 8)  3 Hg 2.93-3.11, 1 Ag 3.11
Br: 0.2215 0.0000 0.4368 (multiplicity 4)  1 Ag 2.54

Computed properties:
Total DFT energy (no corrections) ... -18.1 eV for the cell shown
Formation energy (no corrections) ... -0.170 eV per atom